# GGA-PBE HfTi3N, optimized geometry
# Uncorrected energy = -30.7 eV for the cell shown
# Uncorrected formation energy = 2244 meV per atom
# Theoretical density = 5.04 g cm⁻³
data_HfTi3N
_chemical_formula_sum 'Hf1 Ti3 N1'
_cell_length_a 4.801
_cell_length_b 4.801
_cell_length_c 4.801
_cell_angle_alpha 90.00
_cell_angle_beta 90.00
_cell_angle_gamma 90.00
_symmetry_space_group_name_H-M 'P m -3 m'
_symmetry_Int_Tables_number 221
_symmetry_space_group_name_Hall '-P 4 2 3'
loop_
_atom_site_label
_atom_site_fract_x
_atom_site_fract_y
_atom_site_fract_z
Hf1 0.000 0.000 0.000
Ti1 0.000 0.000 0.500
N1 0.500 0.500 0.500